Hf8Sn2C3 | PBE | relaxed

Geometry as POSCAR:
```
Hf8Sn2C3
1.0
-1.190 3.465 -4.589
-2.239 -5.221 -3.361
-4.783 2.672 5.518
Hf Sn C
8 2 3
Cartesian
-3.131 -2.573 -3.612
-5.081 3.488 1.179
-2.021 0.015 -1.946
-6.191 0.900 -0.487
-4.939 0.342 2.758
-6.101 -2.168 0.949
-3.273 0.573 -5.191
-2.111 3.083 -3.382
-3.342 1.159 0.426
-4.870 -0.244 -2.859
-0.536 -1.251 -0.805
-0.595 1.732 -2.295
-1.703 -3.971 -2.556
```

space-group type: C2/m
calculated total energy: -120.17 eV per cell
M_tot: 0.0000 μB per atom

---

RbSi2Ni2 | PBE | relaxed

Geometry as POSCAR:
```
RbSi2Ni2
1.0
7.966 0.000 0.000
0.000 7.966 0.000
0.000 0.000 2.783
Si Rb Ni
4 2 4
Cartesian
6.999 3.016 1.391
0.967 4.950 1.391
3.016 0.967 1.391
4.950 6.999 1.391
0.000 0.000 0.000
3.983 3.983 0.000
4.948 0.965 0.000
0.965 3.018 0.000
7.001 4.948 0.000
3.018 7.001 0.000
```

space-group type: P4/mbm
ΔE to the lowest computed polymorph: 0.3062 eV/atom
calculated total energy: -45.17 eV per cell
M_tot: 0.0000 μB per atom
uncorrected formation energy: 0.1582 eV/atom

---

MnNbFeRu | PBE | relaxed

Geometry as POSCAR:
```
MnNbFeRu
1.0
4.304 0.000 0.000
2.152 3.728 0.000
2.152 1.243 3.515
Ru Fe Nb Mn
1 1 1 1
Cartesian
6.457 3.728 2.636
2.152 1.243 0.879
0.000 0.000 0.000
4.304 2.485 1.757
```

space-group type: F-43m
calculated total energy: -37.17 eV per cell
M_tot: 1.1355 μB per atom

---

Nd8Dy2Sn | PBE | relaxed

Geometry as POSCAR:
```
Nd8Dy2Sn
1.0
7.313 -0.668 -0.507
-1.259 8.100 1.868
-1.259 3.980 7.298
Dy Nd Sn
2 8 1
Cartesian
3.388 8.758 6.645
1.406 2.653 2.013
3.515 3.725 4.856
5.171 1.632 1.238
-0.377 9.779 7.420
1.279 5.731 6.378
1.279 7.686 3.802
3.515 5.680 2.280
5.437 6.664 5.056
-0.643 4.747 3.602
0.000 0.000 0.000
```

space-group type: C2/m
calculated total energy: -51.27 eV per cell
M_tot: 0.0000 μB per atom

---

Ac6NdY4 | PBE | relaxed

Geometry as POSCAR:
```
Ac6NdY4
1.0
-11.153 2.993 0.604
8.689 -5.777 4.984
10.913 3.052 2.303
Ac Y Nd
6 4 1
Cartesian
-1.232 -1.392 2.794
-0.120 3.022 1.453
5.448 -0.182 3.919
13.171 -3.653 5.595
14.058 -0.133 4.526
-4.627 1.510 1.136
2.083 0.263 2.593
11.568 -0.718 7.230
7.886 1.723 1.849
6.514 -3.725 3.503
0.000 0.000 0.000
```

space-group type: I-42m
calculated total energy: -51.66 eV per cell
M_tot: 0.0000 μB per atom

---

Ti2VCu | PBE | relaxed

Geometry as POSCAR:
```
Ti2VCu
1.0
3.098 0.000 0.000
0.000 3.098 0.000
0.000 0.000 6.198
Cu V Ti
1 1 2
Cartesian
1.549 1.549 0.000
1.549 1.549 3.099
0.000 0.000 4.601
0.000 0.000 1.597
```

space-group type: P4/mmm
ΔE to the lowest computed polymorph: 0.0000 eV/atom
calculated total energy: -29.13 eV per cell
M_tot: 0.0000 μB per atom

---

Ac5In2Hg2 | PBE | relaxed

Geometry as POSCAR:
```
Ac5In2Hg2
1.0
1.513 8.090 3.083
3.377 -3.291 6.977
8.803 4.028 -2.362
Hg Ac In
4 10 4
Cartesian
7.865 6.434 4.309
4.897 8.083 1.442
5.420 4.035 -0.721
5.829 2.392 3.389
3.333 1.993 1.057
7.577 6.031 0.907
10.361 6.833 6.641
9.065 3.313 3.987
2.445 2.400 5.030
4.822 -0.724 4.137
6.117 2.796 6.791
4.629 5.513 3.711
0.000 0.000 0.000
8.872 9.551 3.561
3.553 0.147 7.324
1.337 4.652 2.736
3.412 5.067 7.010
1.479 -0.268 3.050
```

space-group type: Cmce
ΔE to the lowest computed polymorph: 0.0000 eV/atom
calculated total energy: -60.24 eV per cell
M_tot: 0.0000 μB per atom

---

Tb2CeUC4 | PBE | relaxed

Geometry as POSCAR:
```
Tb2CeUC4
1.0
-1.202 -3.272 1.043
4.963 -2.637 -2.550
4.603 -0.337 4.248
C U Ce Tb
4 1 1 2
Cartesian
4.238 -3.633 -0.162
1.397 -4.091 1.471
6.966 -2.155 1.271
4.125 -2.613 2.904
4.783 -1.487 0.849
1.881 -2.955 -0.753
4.603 -0.337 4.248
1.700 -1.805 2.646
```

space-group type: P2/m
calculated total energy: -64.90 eV per cell
M_tot: 0.0000 μB per atom

---

CaWBr2 | PBE | relaxed

Geometry as POSCAR:
```
CaWBr2
1.0
-8.074 5.036 -1.012
-9.317 1.989 -0.901
-0.219 0.209 3.280
Br Ca W
2 1 1
Cartesian
-13.492 5.528 0.626
-16.931 6.853 -1.498
-9.962 4.099 0.950
-3.420 1.398 0.060
```

space-group type: Cm
ΔE to the lowest computed polymorph: 0.0016 eV/atom
calculated total energy: -18.60 eV per cell
M_tot: 0.0000 μB per atom
uncorrected formation energy: -0.0741 eV/atom

---

ReMo2 | PBE | relaxed

Geometry as POSCAR:
```
ReMo2
1.0
3.706 -2.529 3.149
5.141 -0.671 1.777
0.504 3.778 5.645
Re Mo
2 4
Cartesian
2.909 2.674 6.668
8.624 -0.648 8.148
9.311 0.564 10.510
3.197 0.167 3.572
5.575 -0.916 4.594
6.231 0.377 7.032
```

space-group type: Cm
ΔE to the lowest computed polymorph: 0.2445 eV/atom
calculated total energy: -66.49 eV per cell
M_tot: 0.0000 μB per atom

---

La2TlW | PBE | relaxed

Geometry as POSCAR:
```
La2TlW
1.0
5.775 -0.004 0.000
1.976 5.426 0.000
-3.875 -2.711 3.314
La W Tl
2 1 1
Cartesian
0.000 0.000 0.000
0.988 2.713 1.657
2.887 -0.002 1.657
3.875 2.711 0.000
```

space-group type: I-4m2
ΔE to the lowest computed polymorph: 0.1643 eV/atom
calculated total energy: -23.39 eV per cell
M_tot: 0.0645 μB per atom

---

Ce4CSeCl2 | PBE | relaxed

Geometry as POSCAR:
```
Ce4CSeCl2
1.0
-1.027 3.425 -1.551
1.057 -2.650 -6.551
-6.630 -1.195 1.750
Ce Cl Se C
4 2 1 1
Cartesian
-4.917 -1.725 -0.553
-1.757 0.694 -2.203
-4.843 -1.113 -4.149
-0.656 -2.120 -4.248
-3.828 1.115 0.100
-2.787 -1.922 -2.400
0.000 0.000 0.000
0.015 0.388 -4.051
```

space-group type: P2/m
calculated total energy: -50.27 eV per cell
M_tot: 0.3766 μB per atom
uncorrected formation energy: -1.2664 eV/atom

---

Sm2MgPPt6 | PBE | relaxed

Geometry as POSCAR:
```
Sm2MgPPt6
1.0
5.602 0.000 0.000
0.000 8.259 0.000
0.000 0.000 8.675
Pt Sm Mg P
12 4 2 2
Cartesian
2.801 0.917 2.193
1.382 8.118 4.337
4.183 0.141 0.000
0.000 7.343 6.531
0.000 7.343 2.144
4.191 4.576 0.000
4.212 3.683 4.337
1.411 4.576 0.000
2.801 0.917 6.481
1.419 0.141 0.000
4.220 8.118 4.337
1.390 3.683 4.337
0.000 2.222 6.617
0.000 2.222 2.057
2.801 6.037 2.280
2.801 6.037 6.395
0.000 5.839 4.337
2.801 2.420 0.000
0.000 6.412 0.000
2.801 1.847 4.337
```

space-group type: Pmmn
calculated total energy: -122.75 eV per cell
M_tot: 0.0000 μB per atom

---

PuUOs | PBE | relaxed

Geometry as POSCAR:
```
PuUOs
1.0
3.163 0.000 0.000
0.000 5.257 0.000
0.000 0.000 7.462
Os U Pu
2 2 2
Cartesian
0.000 2.629 2.360
1.581 0.000 5.101
0.000 0.000 2.741
1.581 2.629 4.721
0.000 0.000 0.171
1.581 2.629 7.290
```

space-group type: Pmmn
ΔE to the lowest computed polymorph: 0.2596 eV/atom
calculated total energy: -72.68 eV per cell
M_tot: 1.4768 μB per atom

---

Ag2Pb | PBE | relaxed

Geometry as POSCAR:
```
Ag2Pb
1.0
5.789 -0.009 0.027
4.888 3.101 0.027
0.510 0.148 7.488
Pb Ag
2 4
Cartesian
0.368 0.107 2.749
8.210 2.378 0.427
4.609 1.335 5.426
7.452 2.159 5.099
3.210 0.930 2.997
0.899 0.260 7.130
```

space-group type: Cm
calculated total energy: -18.20 eV per cell
M_tot: 0.0000 μB per atom

---

HfAlCuSi2 | PBE | relaxed

Geometry as POSCAR:
```
HfAlCuSi2
1.0
4.338 0.000 0.000
0.000 5.008 0.000
0.000 0.000 4.338
Al Hf Cu Si
1 1 1 2
Cartesian
2.169 2.504 2.169
0.000 2.504 0.000
0.000 0.000 0.000
2.169 0.000 0.000
0.000 0.000 2.169
```

space-group type: P4/mmm
calculated total energy: -26.20 eV per cell
M_tot: 0.0000 μB per atom
uncorrected formation energy: 0.4867 eV/atom

---

CaSeBr2 | PBE | relaxed

Geometry as POSCAR:
```
CaSeBr2
1.0
-2.451 -0.375 2.458
1.071 -3.274 0.569
7.487 3.849 8.051
Se Ca Br
1 1 2
Cartesian
4.926 1.063 7.552
1.182 -0.862 3.526
0.765 0.393 0.823
2.978 1.531 3.203
```

space-group type: P4/mmm
ΔE to the lowest computed polymorph: 0.3263 eV/atom
calculated total energy: -12.47 eV per cell
M_tot: 0.1679 μB per atom
uncorrected formation energy: -0.9089 eV/atom

---

La2Sm2YHo | PBE | relaxed

Geometry as POSCAR:
```
La2Sm2YHo
1.0
-5.656 -0.437 -0.861
1.182 -2.010 -6.743
0.297 -9.528 2.892
Sm Ho La Y
4 2 4 2
Cartesian
0.944 -3.097 -4.629
-2.425 -3.901 -1.208
0.552 -8.471 0.679
-1.734 -8.106 -3.608
-1.831 -5.002 -4.548
-2.328 -7.004 -0.264
-1.931 -10.763 -0.962
0.357 -2.189 -1.232
-2.819 -0.238 -0.481
1.140 -9.380 -2.725
0.157 -4.777 1.395
0.748 -5.786 -1.976
```

space-group type: Pmc2_1
calculated total energy: -60.02 eV per cell
M_tot: 0.0000 μB per atom